VASP calculation (PBE) on a relaxed DyWN2 crystal.

a = 5.725 Å, b = 3.210 Å, c = 10.561 Å
α = 90.00°, β = 90.00°, γ = 90.00°
Space group Pnma (No. 62)
Inequivalent atoms, fractional coordinates:
Dy: 0.079 0.250 0.145
W: 0.066 0.750 0.405
N: 0.165 0.250 0.751
N: 0.239 0.750 0.993

Total magnetic moment ... 0.000 Bohr magnetons per cell
Raw formation energy ... -1105 meV per atom
DOS(E_F) ... 0.471 states/eV/f.u.
Final energy ... -9.656 eV per atom
Distance to the lowest polymorph of the same formula ... 0.0000 eV per atom